(1)
The following is a DFT calculation (GGA-PBE) of crystalline AsPb5 at its relaxed geometry.

a = 5.541 Å, b = 16.396 Å, c = 3.930 Å
α = 90.00°, β = 90.00°, γ = 90.00°
Space group Cmmm (No. 65)
Symmetry-distinct sites (fractional):
As (0.000, 0.000, 0.000) (multiplicity 2)
Pb (0.000, 0.140, 0.500) (multiplicity 4)
Pb (0.000, 0.318, 0.000) (multiplicity 4)
Pb (0.000, 0.500, 0.500) (multiplicity 2)

Computed properties:
The value obtained for the size of the total moment is 0.00 μB per atom. As for the calculated formation energy: 0.061 eV per atom. As for the calculated total energy: -3.80 eV/atom.

***

(2)
The following is a DFT calculation (GGA-PBE) of crystalline Li2CuSi at its relaxed geometry.

a = 2.591 Å, b = 2.591 Å, c = 7.979 Å
α = 90.00°, β = 90.00°, γ = 90.00°
Space group P4/mmm (No. 123)
Symmetry-distinct sites (fractional):
Li (0.000, 0.000, 0.249) (multiplicity 2)
Cu (0.500, 0.500, 0.500) (multiplicity 1)
Si (0.500, 0.500, 0.000) (multiplicity 1)

Computed properties:
The value obtained for the size of the total moment is 0.00 μB per atom. The value obtained for the uncorrected formation energy is -113 meV/atom. As for the calculated total energy: -3.45 eV/atom.

***

(3)
The following is a DFT calculation (GGA-PBE) of crystalline SrLi3Tl at its relaxed geometry.

a = 5.989 Å, b = 5.989 Å, c = 5.989 Å
α = 90.00°, β = 90.00°, γ = 90.00°
Space group Pm-3m (No. 221)
Symmetry-distinct sites (fractional):
Sr (0.000, 0.000, 0.000) (multiplicity 1)
Li (0.000, 0.000, 0.500) (multiplicity 3)
Tl (0.500, 0.500, 0.500) (multiplicity 1)

Computed properties:
The value obtained for the size of the total moment is 0.00 μB per atom. As for the calculated formation energy: 0.738 eV per atom. As for the calculated total energy: -1.22 eV/atom.

***

(4)
The following is a DFT calculation (GGA-PBE) of crystalline CeErSi3 at its relaxed geometry.

a = 4.201 Å, b = 24.455 Å, c = 3.944 Å
α = 90.00°, β = 90.00°, γ = 90.00°
Space group Cmcm (No. 63)
Symmetry-distinct sites (fractional):
Ce (0.000, 0.071, 0.250) (multiplicity 4)
Er (0.000, 0.203, 0.750) (multiplicity 4)
Si (0.000, 0.322, 0.750) (multiplicity 4)
Si (0.000, 0.380, 0.250) (multiplicity 4)
Si (0.000, 0.475, 0.250) (multiplicity 4)

Computed properties:
The value obtained for the size of the total moment is 0.00 μB per atom. The value obtained for the uncorrected formation energy is -725 meV/atom. As for the calculated total energy: -6.08 eV/atom.

***

(5)
The following is a DFT calculation (GGA-PBE) of crystalline Dy11In9Ga4 at its relaxed geometry.

a = 14.541 Å, b = 22.052 Å, c = 3.754 Å
α = 90.00°, β = 90.00°, γ = 90.00°
Space group Cmmm (No. 65)
Symmetry-distinct sites (fractional):
Dy (0.000, 0.000, 0.000) (multiplicity 2)
Dy (0.000, 0.163, 0.000) (multiplicity 4)
Dy (0.000, 0.370, 0.000) (multiplicity 4)
Dy (0.199, 0.500, 0.000) (multiplicity 4)
Dy (0.237, 0.174, 0.000) (multiplicity 8)
In (0.000, 0.500, 0.500) (multiplicity 2)
In (0.107, 0.264, 0.500) (multiplicity 8)
In (0.140, 0.075, 0.500) (multiplicity 8)
Ga (0.153, 0.400, 0.500) (multiplicity 8)

Computed properties:
The value obtained for the size of the total moment is 0.00 μB per atom. As for the calculated formation energy: -0.497 eV per atom. As for the calculated total energy: -4.14 eV/atom.

***

(6)
The following is a DFT calculation (GGA-PBE) of crystalline LaCuIr3 at its relaxed geometry.

a = 4.603 Å, b = 4.603 Å, c = 4.603 Å
α = 90.00°, β = 90.00°, γ = 90.00°
Space group Pm-3m (No. 221)
Symmetry-distinct sites (fractional):
La (0.000, 0.000, 0.000) (multiplicity 1)
Cu (0.500, 0.500, 0.500) (multiplicity 1)
Ir (0.000, 0.500, 0.500) (multiplicity 3)

Computed properties:
The value obtained for the size of the total moment is 0.00 μB per atom. As for the calculated formation energy: 0.512 eV per atom. As for the calculated total energy: -6.61 eV/atom.

***

(7)
The following is a DFT calculation (GGA-PBE) of crystalline La2CuIr2 at its relaxed geometry.

a = 4.340 Å, b = 5.844 Å, c = 8.570 Å
α = 90.00°, β = 90.00°, γ = 90.00°
Space group Immm (No. 71)
Symmetry-distinct sites (fractional):
La (0.000, 0.000, 0.198) (multiplicity 4)
Cu (0.000, 0.500, 0.000) (multiplicity 2)
Ir (0.000, 0.252, 0.500) (multiplicity 4)

Computed properties:
The value obtained for the size of the total moment is 0.00 μB per atom. As for the calculated formation energy: -0.579 eV per atom. As for the calculated total energy: -6.91 eV/atom.

***

(8)
The following is a DFT calculation (GGA-PBE) of crystalline Ta5Re2W5 at its relaxed geometry.

a = 9.682 Å, b = 4.556 Å, c = 9.620 Å
α = 90.00°, β = 109.43°, γ = 90.00°
Space group C2/m (No. 12)
Symmetry-distinct sites (fractional):
Ta (0.000, 0.000, 0.000) (multiplicity 2)
Ta (0.163, 0.000, 0.502) (multiplicity 4)
Ta (0.246, 0.500, 0.750) (multiplicity 4)
Re (0.082, 0.000, 0.753) (multiplicity 4)
W (0.000, 0.500, 0.500) (multiplicity 2)
W (0.081, 0.500, 0.248) (multiplicity 4)
W (0.169, 0.500, 0.004) (multiplicity 4)

Computed properties:
The value obtained for the size of the total moment is 0.00 μB per atom. As for the calculated formation energy: -0.173 eV per atom. As for the calculated total energy: -12.58 eV/atom.

***

(9)
The following is a DFT calculation (GGA-PBE) of crystalline Ho8Te2Ir3 at its relaxed geometry.

a = 9.655 Å, b = 15.171 Å, c = 4.795 Å
α = 90.00°, β = 90.00°, γ = 90.00°
Space group Cmmm (No. 65)
Symmetry-distinct sites (fractional):
Ho (0.000, 0.106, 0.000) (multiplicity 4)
Ho (0.000, 0.388, 0.000) (multiplicity 4)
Ho (0.247, 0.391, 0.500) (multiplicity 8)
Te (0.000, 0.243, 0.500) (multiplicity 4)
Ir (0.000, 0.500, 0.500) (multiplicity 2)
Ir (0.248, 0.500, 0.000) (multiplicity 4)

Computed properties:
The value obtained for the size of the total moment is 0.00 μB per atom. The value obtained for the uncorrected formation energy is -775 meV/atom. As for the calculated total energy: -6.12 eV/atom.

***

(10)
The following is a DFT calculation (GGA-PBE) of crystalline YZr2NpN4 at its relaxed geometry.

a = 4.745 Å, b = 4.745 Å, c = 9.485 Å
α = 90.00°, β = 90.00°, γ = 90.00°
Space group I-4m2 (No. 119)
Symmetry-distinct sites (fractional):
Y (0.000, 0.000, 0.000) (multiplicity 2)
Zr (0.000, 0.000, 0.500) (multiplicity 2)
Zr (0.000, 0.500, 0.250) (multiplicity 2)
Np (0.000, 0.500, 0.750) (multiplicity 2)
N (0.000, 0.000, 0.255) (multiplicity 4)
N (0.000, 0.500, 0.502) (multiplicity 4)

Computed properties:
The value obtained for the size of the total moment is 0.37 μB per atom. The value obtained for the uncorrected formation energy is -1551 meV/atom. As for the calculated total energy: -10.28 eV/atom.

***

(11)
The following is a DFT calculation (GGA-PBE) of crystalline AlFe4 at its relaxed geometry.

a = 2.5732 Å, b = 2.5732 Å, c = 11.0920 Å
α = 90.00°, β = 90.00°, γ = 120.00°
Space group P-3m1 (No. 164)
Symmetry-distinct sites (fractional):
Al (0.0000, 0.0000, 0.0000) (multiplicity 1)
Fe (0.3333, 0.6667, 0.5972) (multiplicity 2)
Fe (0.3333, 0.6667, 0.8115) (multiplicity 2)

Computed properties:
The value obtained for the size of the total moment is 1.94 μB per atom. As for the calculated formation energy: 0.220 eV per atom. As for the calculated total energy: -7.30 eV/atom.

***

(12)
The following is a DFT calculation (GGA-PBE) of crystalline YHo2Mg8 at its relaxed geometry.

a = 15.912 Å, b = 5.022 Å, c = 7.339 Å
α = 90.00°, β = 108.80°, γ = 90.00°
Space group C2/m (No. 12)
Symmetry-distinct sites (fractional):
Y (0.000, 0.000, 0.000) (multiplicity 2)
Ho (0.223, 0.500, 0.639) (multiplicity 4)
Mg (0.028, 0.500, 0.719) (multiplicity 4)
Mg (0.089, 0.000, 0.465) (multiplicity 4)
Mg (0.141, 0.500, 0.154) (multiplicity 4)
Mg (0.178, 0.000, 0.896) (multiplicity 4)

Computed properties:
The value obtained for the size of the total moment is 0.00 μB per atom. As for the calculated formation energy: -0.038 eV per atom. As for the calculated total energy: -2.62 eV/atom.

***

(13)
The following is a DFT calculation (GGA-PBE) of crystalline Rb2HoZn2S4 at its relaxed geometry.

a = 15.924 Å, b = 3.902 Å, c = 8.116 Å
α = 90.00°, β = 113.04°, γ = 90.00°
Space group C2/m (No. 12)
Symmetry-distinct sites (fractional):
Rb (0.128, 0.000, 0.060) (multiplicity 4)
Ho (0.000, 0.000, 0.500) (multiplicity 2)
Zn (0.183, 0.500, 0.522) (multiplicity 4)
S (0.033, 0.500, 0.293) (multiplicity 4)
S (0.185, 0.000, 0.702) (multiplicity 4)

Computed properties:
The value obtained for the size of the total moment is 0.00 μB per atom. The value obtained for the uncorrected formation energy is -1155 meV/atom. As for the calculated total energy: -4.00 eV/atom.

***

(14)
The following is a DFT calculation (GGA-PBE) of crystalline Zn2AgSn at its relaxed geometry.

a = 3.1737 Å, b = 3.1737 Å, c = 26.8591 Å
α = 90.00°, β = 90.00°, γ = 120.00°
Space group R3m (No. 160, hexagonal axes)
Symmetry-distinct sites (fractional):
Zn (0.0000, 0.0000, 0.0000) (multiplicity 3)
Zn (0.0000, 0.0000, 0.1812) (multiplicity 3)
Ag (0.0000, 0.0000, 0.5903) (multiplicity 3)
Sn (0.0000, 0.0000, 0.4250) (multiplicity 3)

Computed properties:
The value obtained for the size of the total moment is 0.00 μB per atom. As for the calculated formation energy: 0.108 eV per atom. As for the calculated total energy: -2.24 eV/atom.

***

(15)
The following is a DFT calculation (GGA-PBE) of crystalline Pr2DyRh at its relaxed geometry.

a = 7.308 Å, b = 10.043 Å, c = 6.393 Å
α = 90.00°, β = 90.00°, γ = 90.00°
Space group Pnma (No. 62)
Symmetry-distinct sites (fractional):
Pr (0.178, 0.066, 0.170) (multiplicity 8)
Dy (0.038, 0.250, 0.653) (multiplicity 4)
Rh (0.124, 0.750, 0.948) (multiplicity 4)

Computed properties:
The value obtained for the size of the total moment is 0.00 μB per atom. As for the calculated formation energy: -0.433 eV per atom. As for the calculated total energy: -5.81 eV/atom.

***

(16)
The following is a DFT calculation (GGA-PBE) of crystalline ScNi2IrC at its relaxed geometry.

a = 3.930 Å, b = 3.930 Å, c = 4.059 Å
α = 90.00°, β = 90.00°, γ = 90.00°
Space group P4/mmm (No. 123)
Symmetry-distinct sites (fractional):
Sc (0.000, 0.000, 0.000) (multiplicity 1)
Ni (0.000, 0.500, 0.500) (multiplicity 2)
Ir (0.500, 0.500, 0.000) (multiplicity 1)
C (0.500, 0.500, 0.500) (multiplicity 1)

Computed properties:
The value obtained for the size of the total moment is 0.00 μB per atom. As for the calculated formation energy: -0.283 eV per atom. As for the calculated total energy: -7.48 eV/atom.

***

(17)
The following is a DFT calculation (GGA-PBE) of crystalline AlRhBr2 at its relaxed geometry.

a = 6.406 Å, b = 7.402 Å, c = 7.473 Å
α = 90.00°, β = 90.00°, γ = 90.00°
Space group Fmmm (No. 69)
Symmetry-distinct sites (fractional):
Al (0.000, 0.000, 0.000) (multiplicity 4)
Rh (0.000, 0.000, 0.500) (multiplicity 4)
Br (0.000, 0.250, 0.250) (multiplicity 8)

Computed properties:
The value obtained for the size of the total moment is 0.00 μB per atom. The value obtained for the uncorrected formation energy is 197 meV/atom. As for the calculated total energy: -3.41 eV/atom.